Computed, not measured: crystalline Ag2WF6 at its relaxed geometry at the GGA+U level of DFT.

a = 6.344 Å, b = 5.989 Å, c = 9.370 Å
α = 90.00°, β = 90.04°, γ = 90.00°
Element x y z (fractional)
1 F 0.623 0.304 0.152
2 F 0.877 0.804 0.348
3 F 0.377 0.697 0.151
4 F 0.877 0.803 0.651
5 F 0.623 0.303 0.849
6 F 0.212 0.341 0.000
7 F 0.377 0.696 0.848
8 F 0.788 0.659 0.000
9 F 0.123 0.196 0.652
10 F 0.712 0.159 0.500
11 F 0.288 0.841 0.500
12 F 0.123 0.197 0.349
13 Ag 0.000 0.500 0.199
14 Ag 0.500 0.000 0.301
15 Ag 0.500 0.000 0.699
16 Ag 0.000 0.500 0.801
17 W 0.000 0.000 0.500
18 W 0.500 0.500 0.000

DOS at the Fermi energy in states/eV/f.u.: 0.000
Calculated total energy in eV/atom: -4.65
Space group: P2_1/c